Record 1
DFT (PBE-GGA) results for a geometry-optimized SrGa3Ir structure. Values from VASP.

Computed properties:
**DFT formation energy**: 9.07 eV/f.u.
**Polymorph energy (0 for the lowest one)**: 2335.8 meV per atom

```
&SYSTEM
  ibrav = 0, nat = 5, ntyp = 3
/
ATOMIC_SPECIES
Sr 87.62 Sr.upf
Ir 192.22 Ir.upf
Ga 69.72 Ga.upf
CELL_PARAMETERS angstrom
5.5358 0.0000 0.0000
0.0000 5.5358 0.0000
0.0000 0.0000 5.5358
ATOMIC_POSITIONS crystal
Sr 0.0000 0.0000 0.0000
Ir 0.5000 0.5000 0.5000
Ga 0.0000 0.5000 0.0000
Ga 0.0000 0.0000 0.5000
Ga 0.5000 0.0000 0.0000
```

=====

Record 2
DFT (PBE-GGA) results for a geometry-optimized TbPmErTm structure. Values from VASP.

Computed properties:
**DFT formation energy**: 0.47 eV/f.u.
**Polymorph energy (0 for the lowest one)**: 99.5 meV per atom

```
&SYSTEM
  ibrav = 0, nat = 4, ntyp = 4
/
ATOMIC_SPECIES
Pm 145.00 Pm.upf
Tm 168.93 Tm.upf
Tb 158.93 Tb.upf
Er 167.26 Er.upf
CELL_PARAMETERS angstrom
5.6614 0.0000 0.0000
2.8307 4.9029 0.0000
2.8307 1.6343 4.6225
ATOMIC_POSITIONS crystal
Pm 0.5000 0.5000 0.5000
Tm 0.7500 0.7500 0.7500
Tb 0.0000 0.0000 0.0000
Er 0.2500 0.2500 0.2500
```

=====

Record 3
DFT (PBE-GGA) results for a geometry-optimized GaHPdRh2 structure. Values from VASP.

Computed properties:
**Polymorph energy (0 for the lowest one)**: 0.0 meV per atom

```
&SYSTEM
  ibrav = 0, nat = 5, ntyp = 4
/
ATOMIC_SPECIES
H 1.01 H.upf
Rh 102.91 Rh.upf
Ga 69.72 Ga.upf
Pd 106.42 Pd.upf
CELL_PARAMETERS angstrom
3.9570 0.0000 0.0000
0.0000 3.9570 0.0000
0.0000 0.0000 3.8717
ATOMIC_POSITIONS crystal
H 0.0000 0.0000 0.0000
Rh 0.0000 0.5000 0.0000
Rh 0.5000 0.0000 0.0000
Ga 0.5000 0.5000 0.5000
Pd 0.0000 0.0000 0.5000
```

=====

Record 4
DFT (PBE-GGA) results for a geometry-optimized Er4TmSc5 structure. Values from VASP.

Computed properties:
**DFT formation energy**: 0.76 eV/f.u.
**Polymorph energy (0 for the lowest one)**: 0.0 meV per atom

```
&SYSTEM
  ibrav = 0, nat = 10, ntyp = 3
/
ATOMIC_SPECIES
Er 167.26 Er.upf
Tm 168.93 Tm.upf
Sc 44.96 Sc.upf
CELL_PARAMETERS angstrom
-0.6860 2.4245 -2.2313
2.5926 -6.6995 -8.0766
-8.8037 1.5622 6.9423
ATOMIC_POSITIONS crystal
Er 0.3912 0.0830 0.7824
Er 0.0894 0.3860 0.1788
Er 0.6088 0.9170 0.2176
Er 0.9106 0.6140 0.8212
Tm 0.5000 0.0000 0.0000
Sc 0.8098 0.1977 0.6196
Sc 0.7883 0.6947 0.5765
Sc 0.2117 0.3053 0.4234
Sc 0.5000 0.5000 0.0000
Sc 0.1902 0.8023 0.3804
```

=====

Q: Among the records above, which one has the highest polymorph energy (0 for the lowest one)?
A: SrGa3Ir

=====

Q: Which value of polymorph energy (0 for the lowest one) does entry 2 give?
A: 99.5 meV per atom